(1)
Below is a relaxed Zn6PdRu crystal, with properties calculated at the PBE level.

**Size of the total moment**: 0.6 μB per formula unit
**ΔH_f (0 K)**: 17 kJ/mol of atoms

a = 6.9178 Å, b = 6.9178 Å, c = 9.6666 Å
α = 90.00°, β = 90.00°, γ = 120.00°
Closest atoms and distances in Å follow each position.
Space group R-3m (No. 166, hexagonal axes)
Unique sites:
Zn: 0.0866 0.5433 0.3838 (multiplicity 18)  5 Zn 2.47-2.70, 1 Pd 2.56, 1 Ru 2.57
Pd: 0.0000 0.0000 0.0000 (multiplicity 3)  6 Zn 2.56
Ru: 0.0000 0.0000 0.5000 (multiplicity 3)  6 Zn 2.57

(2)
Below is a relaxed Th3Pa2Co3 crystal, with properties calculated at the PBE level.

**Size of the total moment**: 0.0 μB per formula unit
**ΔH_f (0 K)**: -21 kJ/mol of atoms

a = 3.6706 Å, b = 12.6683 Å, c = 15.2925 Å
α = 90.00°, β = 90.00°, γ = 90.00°
Closest atoms and distances in Å follow each position.
Space group Cmcm (No. 63)
Unique sites:
Th: 0.0000 0.0677 0.1253 (multiplicity 8)  6 Co 2.92-3.15
Th: 0.0000 0.3599 0.2500 (multiplicity 4)  4 Co 3.07-3.27, 4 Pa 3.31
Pa: 0.0000 0.2107 0.5797 (multiplicity 8)  2 Co 2.50
Co: 0.0000 0.3344 0.7500 (multiplicity 4)  6 Th 2.92-3.07, 2 Pa 3.04
Co: 0.0000 0.4145 0.0413 (multiplicity 8)  2 Pa 2.50, 1 Co 2.51

(3)
Below is a relaxed PrYPt crystal, with properties calculated at the PBE level.

**Size of the total moment**: 0.0 μB per formula unit
**ΔH_f (0 K)**: -83 kJ/mol of atoms
**E above lowest polymorph**: 0.000 eV/atom

a = 6.8254 Å, b = 7.2348 Å, c = 6.9792 Å
α = 90.00°, β = 96.30°, γ = 90.00°
Closest atoms and distances in Å follow each position.
Space group P2_1/c (No. 14)
Unique sites:
Pr: 0.1039 0.1010 0.2632 (multiplicity 4)  3 Pt 2.94-3.28
Y: 0.4372 0.7402 0.4977 (multiplicity 4)  4 Pt 2.86-2.95
Pt: 0.2987 0.0426 0.7108 (multiplicity 4)  4 Y 2.86-2.95, 2 Pr 2.94-2.96

(4)
Below is a relaxed DyBiSe crystal, with properties calculated at the PBE level.

**Energy relative to the elements, uncorrected**: -1.100 eV per atom
**Size of the total moment**: 0.0 μB per formula unit

a = 4.4431 Å, b = 5.1848 Å, c = 8.1234 Å
α = 90.00°, β = 90.00°, γ = 90.00°
Closest atoms and distances in Å follow each position.
Space group Pmmn (No. 59, origin choice 2)
Unique sites:
Dy: 0.2500 0.2500 0.1746 (multiplicity 2)  4 Se 2.81-2.83
Bi: 0.2500 0.7500 0.5015 (multiplicity 2)  4 Bi 3.41, 4 Dy 3.44-3.71, 1 Se 3.73
Se: 0.2500 0.7500 0.0418 (multiplicity 2)  4 Dy 2.81-2.83

(5)
Below is a relaxed BiTeW3 crystal, with properties calculated at the PBE level.

**Energy relative to the elements, uncorrected**: 2.319 eV per atom
**Size of the total moment**: 0.0 μB per formula unit
**E above lowest polymorph**: 0.000 eV/atom

a = 4.9586 Å, b = 4.9586 Å, c = 4.9586 Å
α = 90.00°, β = 90.00°, γ = 90.00°
Closest atoms and distances in Å follow each position.
Space group Pm-3m (No. 221)
Unique sites:
Bi: 0.0000 0.0000 0.0000 (multiplicity 1)  12 W 3.51
Te: 0.5000 0.5000 0.5000 (multiplicity 1)  6 W 2.48
W: 0.0000 0.5000 0.5000 (multiplicity 3)  2 Te 2.48

(6)
Below is a relaxed Cr2CdPRh crystal, with properties calculated at the PBE level.

**Size of the total moment**: 8.4 μB per formula unit
**ΔH_f (0 K)**: 63 kJ/mol of atoms

a = 5.0148 Å, b = 5.0148 Å, c = 4.3185 Å
α = 90.00°, β = 90.00°, γ = 90.00°
Closest atoms and distances in Å follow each position.
Space group P4/mmm (No. 123)
Unique sites:
Cr: 0.0000 0.5000 0.0000 (multiplicity 2)  2 Rh 2.51
Cd: 0.0000 0.0000 0.5000 (multiplicity 1)  8 Cr 3.31, 4 P 3.55
P: 0.5000 0.5000 0.5000 (multiplicity 1)  2 Rh 2.16
Rh: 0.5000 0.5000 0.0000 (multiplicity 1)  2 P 2.16